# 1
A plane-wave DFT calculation with PBE-GGA was carried out for an optimized crystal structure of BaMgSe2.

Values from the calculation:
Symmetry: P4mm, No. 99

abc: 4.317 4.317 6.842
angles: 90.00 90.00 90.00
Positions (direct):
Ba 0.000 0.000 0.397
Mg 0.500 0.500 0.930
Se 0.000 0.000 0.873
Se 0.500 0.500 0.300

=====

# 2
A plane-wave DFT calculation with PBE-GGA was carried out for an optimized crystal structure of BaMgSiSe4.

Values from the calculation:
Symmetry: P2_1/m, No. 11

abc: 6.401 7.229 8.789
angles: 90.00 105.28 90.00
Positions (direct):
Ba 0.767 0.750 0.940
Ba 0.233 0.250 0.060
Mg 0.833 0.750 0.485
Mg 0.167 0.250 0.515
Si 0.223 0.750 0.316
Si 0.777 0.250 0.684
Se 0.027 0.490 0.712
Se 0.973 0.990 0.288
Se 0.973 0.510 0.288
Se 0.027 0.010 0.712
Se 0.335 0.750 0.092
Se 0.665 0.250 0.908
Se 0.466 0.750 0.554
Se 0.534 0.250 0.446

=====

# 3
A plane-wave DFT calculation with PBE-GGA was carried out for an optimized crystal structure of Ba2MgSnSe.

Values from the calculation:
Symmetry: P4/mmm, No. 123

abc: 6.620 5.573 6.620
angles: 90.00 90.00 90.00
Positions (direct):
Mg 0.500 0.500 0.500
Ba 0.000 0.000 0.500
Ba 0.500 0.000 0.000
Se 0.000 0.500 0.000
Sn 0.000 0.000 0.000

=====

# 4
A plane-wave DFT calculation with PBE-GGA was carried out for an optimized crystal structure of Ba2MgSnSe5.

Values from the calculation:
Symmetry: Cmc2_1, No. 36

abc: 4.210 10.303 13.001
angles: 90.00 90.00 101.79
Positions (direct):
Ba 0.873 0.745 0.807
Ba 0.129 0.259 0.680
Ba 0.127 0.255 0.307
Ba 0.871 0.741 0.180
Mg 0.775 0.550 0.531
Mg 0.225 0.450 0.031
Sn 0.564 0.128 0.942
Sn 0.436 0.872 0.442
Se 0.351 0.701 0.995
Se 0.684 0.368 0.881
Se 0.504 0.008 0.770
Se 0.293 0.586 0.660
Se 0.964 0.928 0.558
Se 0.649 0.299 0.495
Se 0.316 0.632 0.381
Se 0.496 0.992 0.270
Se 0.707 0.414 0.160
Se 0.036 0.072 0.058

=====

# 5
A plane-wave DFT calculation with PBE-GGA was carried out for an optimized crystal structure of BaSr2MgSe.

Values from the calculation:
Symmetry: P4/mmm, No. 123

abc: 5.961 5.961 6.421
angles: 90.00 90.00 90.00
Positions (direct):
Sr 0.000 0.500 0.000
Sr 0.500 0.000 0.000
Mg 0.500 0.500 0.500
Ba 0.000 0.000 0.500
Se 0.000 0.000 0.000

=====

# 6
A plane-wave DFT calculation with PBE-GGA was carried out for an optimized crystal structure of Ba3Tb3MgSe8.

Values from the calculation:
Symmetry: R-3m, No. 166

abc: 8.452 8.454 8.952
angles: 118.19 89.97 120.02
Positions (direct):
Ba 0.000 0.000 0.000
Ba 0.000 0.500 0.000
Ba 0.500 0.500 0.000
Tb 0.500 0.000 0.500
Tb 0.500 0.500 0.500
Tb 0.000 0.500 0.500
Mg 0.000 0.000 0.500
Se 0.262 0.524 0.285
Se 0.738 0.476 0.715
Se 0.767 0.533 0.293
Se 0.233 0.467 0.707
Se 0.767 0.027 0.293
Se 0.233 0.973 0.707
Se 0.260 0.027 0.293
Se 0.740 0.973 0.707

=====

# 7
A plane-wave DFT calculation with PBE-GGA was carried out for an optimized crystal structure of Ba2MgTiSe.

Values from the calculation:
Symmetry: P4/mmm, No. 123

abc: 6.663 4.875 6.663
angles: 90.00 90.00 90.00
Last column: magnetic moment on the atom in μB.
Positions (direct):
Mg 0.000 0.000 0.000  0.00
Ba 0.000 0.000 0.500  0.01
Ba 0.500 0.000 0.000  0.02
Se 0.000 0.500 0.000  0.00
Ti 0.500 0.500 0.500  0.38

=====

# 8
A plane-wave DFT calculation with PBE-GGA was carried out for an optimized crystal structure of Ba3Tm3MgSe8.

Values from the calculation:
Symmetry: R-3m, No. 166

abc: 8.347 8.347 8.905
angles: 117.97 90.00 120.00
Positions (direct):
Ba 0.000 0.000 0.000
Ba 0.000 0.500 0.000
Ba 0.500 0.500 0.000
Tm 0.500 0.000 0.500
Tm 0.500 0.500 0.500
Tm 0.000 0.500 0.500
Mg 0.000 0.000 0.500
Se 0.263 0.527 0.290
Se 0.737 0.473 0.710
Se 0.765 0.531 0.296
Se 0.235 0.469 0.704
Se 0.765 0.030 0.296
Se 0.235 0.970 0.704
Se 0.265 0.030 0.296
Se 0.735 0.970 0.704

=====

no.,V (Å³ per cell),formation energy (no corrections) (kJ/mol of formula units)
1,127.5,-539
2,392.3,-755
3,244.3,-45
4,552.0,-1123
5,228.1,-317
6,464.3,-2635
7,216.4,246
8,451.7,-2607